# 1
Li2TcH6 (PBE, relaxed); energy = -33.049 eV/f.u.
1.0
-1.318 -0.256 -3.248
-2.725 -1.835 1.250
-5.069 8.474 1.389
H Li Tc
12 4 2
Cartesian
-1.414 -0.732 -0.699
-6.783 5.559 1.724
-2.629 -1.360 -1.299
-3.136 2.190 -0.212
-5.813 6.647 -1.379
-5.977 4.193 -0.397
-4.391 1.541 -0.832
-3.300 -0.264 0.769
-4.722 4.842 0.223
-2.330 0.825 -2.333
-5.048 2.639 1.269
-4.064 3.744 -1.878
-3.396 5.677 0.930
-2.883 0.394 -0.763
-6.230 5.989 0.154
-1.674 2.798 0.459
-4.556 3.192 -0.305
0.000 0.000 0.000

---

# 2
ZnInFe2Cl8 (PBE, relaxed); uncorrected formation energy = -0.778 eV per atom
1.0
5.854 -1.425 -0.110
1.436 5.851 -0.110
0.163 0.099 7.477
Zn Fe Cl In
1 2 8 1
Cartesian
0.000 0.000 0.000
3.683 2.236 1.633
3.770 2.289 5.624
2.383 4.382 1.640
5.066 3.076 3.588
4.987 0.093 1.640
5.103 3.098 -0.153
5.071 0.144 5.617
2.467 4.433 5.617
2.388 1.450 3.669
2.350 1.427 7.410
0.081 0.049 3.738

---

# 3
Er5Al2Ag (PBE, relaxed); E_form = -258.1 meV/atom
1.0
6.834 0.000 -3.226
-1.523 6.662 -3.226
0.101 0.127 9.065
Ag Er Al
2 10 4
Cartesian
1.378 1.729 2.920
4.034 5.060 -0.306
-0.587 3.549 4.638
4.114 6.571 -3.106
4.465 1.315 3.576
1.299 0.218 5.720
2.579 4.646 2.494
2.833 2.143 0.120
6.000 3.240 -2.024
0.000 0.000 0.000
0.947 5.474 -0.963
2.656 3.331 -3.226
0.262 2.515 -1.613
1.243 5.846 -4.048
4.068 0.816 -2.403
5.049 4.147 -4.839

---

# 4
HgTe2AsI (PBE, relaxed); uncorrected formation energy = 0.836 eV per atom
1.0
5.688 0.000 0.000
0.000 5.688 0.000
0.000 0.000 5.745
As Te Hg I
1 2 1 1
Cartesian
2.844 2.844 2.872
2.844 0.000 0.000
0.000 2.844 0.000
0.000 0.000 0.000
0.000 0.000 2.872

---

# 5
Pr2Dy15Y2 (PBE, relaxed); E_form = 270.4 meV/atom
1.0
6.646 -5.641 -0.625
6.646 5.641 -0.625
2.698 0.000 8.313
Dy Y Pr
15 2 2
Cartesian
7.172 0.000 6.614
1.349 0.000 4.156
3.872 1.677 5.655
3.323 2.821 -0.312
6.646 -2.286 -0.625
3.323 -2.821 -0.312
6.646 2.286 -0.625
5.472 3.964 2.033
5.472 -3.964 2.033
6.907 2.730 4.774
9.083 2.730 2.289
9.083 -2.730 2.289
8.817 0.000 0.449
3.872 -1.677 5.655
6.907 -2.730 4.774
1.565 0.000 0.691
14.425 0.000 6.372
10.743 0.000 4.745
5.247 0.000 2.318

---

# 6
Ba2AlGa (PBE, relaxed); E_form = -301.5 meV/atom
1.0
-2.988 -0.218 -3.372
1.429 -0.146 -4.276
-0.281 -9.310 -2.122
Ba Al Ga
2 1 1
Cartesian
-0.432 -3.431 -2.386
-0.310 -8.297 -2.180
-0.890 -5.983 -4.832
-1.409 -6.111 -7.380

---

# 7
K2AcPbO4 (PBE, relaxed); uncorrected formation energy = -1.833 eV per atom
1.0
3.789 0.000 0.000
0.000 6.366 0.063
0.000 -2.269 6.341
O Pb Ac K
4 1 1 2
Cartesian
0.000 -0.114 5.074
1.895 0.941 1.267
0.000 4.211 1.330
1.895 3.156 5.138
0.000 0.000 0.000
1.895 3.183 0.032
0.000 2.049 3.202
1.895 -1.134 3.171

---

# 8
BaLa5Zn4 (PBE, relaxed); E_form = -209.8 meV/atom
1.0
3.820 0.000 0.000
0.000 3.820 0.000
0.000 0.000 20.983
La Zn Ba
5 4 1
Cartesian
1.910 1.910 3.238
1.910 1.910 14.198
1.910 1.910 10.491
1.910 1.910 17.745
1.910 1.910 6.785
0.000 0.000 12.347
0.000 0.000 16.013
0.000 0.000 8.635
0.000 0.000 4.970
0.000 0.000 0.000